one | This record from the Alexandria database describes a geometry-optimized TlOsPt2 structure. The functional is PBE.

Output
total magnetic moment = 0.00 μB per formula unit

Lattice parameters (Å, degrees): 2.9543 2.9543 7.8464 90.00 90.00 90.00
Closest atoms and distances in Å follow each position.
Sites, in units of the cell vectors:
Tl  0.0000  0.0000  0.0000  4 Tl 2.95, 4 Pt 2.98, 4 Os 3.01
Os  0.5000  0.5000  0.2770  4 Pt 2.66, 4 Os 2.95
Pt  0.0000  0.0000  0.4861  4 Os 2.66, 8 Pt 2.83-2.95
Pt  0.5000  0.5000  0.7289  8 Pt 2.83-2.95, 4 Tl 2.98


two | This record from the Alexandria database describes a geometry-optimized TlOsPt2 structure. The functional is PBE.

Output
total magnetic moment = 0.00 μB per formula unit

Lattice parameters (Å, degrees): 4.8813 4.8813 4.8813 129.64 129.64 73.98
Closest atoms and distances in Å follow each position.
Sites, in units of the cell vectors:
Tl  0.0000  0.0000  0.0000  4 Os 2.85, 8 Pt 2.85-2.94
Os  0.2500  0.7500  0.5000  4 Tl 2.85, 8 Pt 2.85-2.94
Pt  0.5000  0.5000  0.0000  4 Os 2.85, 4 Pt 2.85, 4 Tl 2.94
Pt  0.7500  0.2500  0.5000  4 Tl 2.85, 4 Pt 2.85, 4 Os 2.94


three | This record from the Alexandria database describes a geometry-optimized TlOsPt2 structure. The functional is PBE.

Output
total magnetic moment = 0.00 μB per formula unit

Lattice parameters (Å, degrees): 9.3590 9.3590 9.3590 17.99 17.99 17.99
Closest atoms and distances in Å follow each position.
Sites, in units of the cell vectors:
Tl  0.0000  0.0000  0.0000  6 Tl 2.93, 3 Pt 2.94, 3 Os 2.98
Os  0.2444  0.2444  0.2444  3 Pt 2.67, 6 Os 2.93, 3 Tl 2.98
Pt  0.5027  0.5027  0.5027  3 Os 2.67, 9 Pt 2.83-2.93
Pt  0.7539  0.7539  0.7539  9 Pt 2.83-2.93, 3 Tl 2.94


Stability comparison, relative energies in meV per atom: one 0; two 75; three 55


one | This record from the Alexandria database describes a geometry-optimized TlOsPt2 structure. The functional is PBE.

Output
total magnetic moment = 1.50 μB per formula unit

Lattice parameters (Å, degrees): 4.6030 4.6030 4.6030 60.00 60.00 60.00
Closest atoms and distances in Å follow each position.
Sites, in units of the cell vectors:
Tl  0.0000  0.0000  0.0000  8 Pt 2.82
Os  0.5000  0.5000  0.5000  8 Pt 2.82
Pt  0.2500  0.2500  0.2500  4 Tl 2.82, 4 Os 2.82
Pt  0.7500  0.7500  0.7500  4 Tl 2.82, 4 Os 2.82


two | This record from the Alexandria database describes a geometry-optimized TlOsPt2 structure. The functional is PBE.

Output
total magnetic moment = 0.00 μB per formula unit

Lattice parameters (Å, degrees): 5.7014 5.7014 5.7014 150.61 129.85 59.19
Closest atoms and distances in Å follow each position.
Sites, in units of the cell vectors:
Tl  0.0000  0.0000  0.0000  4 Os 2.82, 2 Tl 2.89, 4 Pt 3.02
Os  0.5000  0.5000  0.0000  4 Pt 2.72, 4 Tl 2.82, 2 Os 2.89
Pt  0.2672  0.7672  0.5000  2 Os 2.72, 6 Pt 2.84-2.89, 2 Tl 3.02
Pt  0.7328  0.2328  0.5000  2 Os 2.72, 6 Pt 2.84-2.89, 2 Tl 3.02


three | This record from the Alexandria database describes a geometry-optimized TlOsPt2 structure. The functional is PBE.

Output
total magnetic moment = 0.00 μB per formula unit

Lattice parameters (Å, degrees): 2.8734 2.8734 9.8039 90.00 90.00 120.37
Closest atoms and distances in Å follow each position.
Sites, in units of the cell vectors:
Tl  0.0000  0.0000  0.0000  6 Tl 2.86-2.87, 2 Pt 2.96, 2 Os 2.97
Os  0.5000  0.5000  0.2661  2 Pt 2.65, 6 Os 2.86-2.87
Pt  0.0000  0.0000  0.4932  2 Os 2.65, 8 Pt 2.78-2.87
Pt  0.5000  0.5000  0.7360  8 Pt 2.78-2.87, 2 Tl 2.96


four | This record from the Alexandria database describes a geometry-optimized TlOsPt2 structure. The functional is PBE.

Output
total magnetic moment = 1.74 μB per formula unit

Lattice parameters (Å, degrees): 4.5891 4.5891 4.5891 60.00 60.00 60.00
Closest atoms and distances in Å follow each position.
Sites, in units of the cell vectors:
Tl  0.0000  0.0000  0.0000  4 Os 2.81, 4 Pt 2.81
Os  0.7500  0.7500  0.7500  4 Pt 2.81, 4 Tl 2.81
Pt  0.2500  0.2500  0.2500  4 Tl 2.81, 4 Pt 2.81
Pt  0.5000  0.5000  0.5000  4 Os 2.81, 4 Pt 2.81


Stability comparison, relative energies in meV per atom: one 65; two 0; three 58; four 43


one | This record from the Alexandria database describes a geometry-optimized Tm8OsPt2 structure. The functional is PBE.

Output
total magnetic moment = 0.00 μB per formula unit

Lattice parameters (Å, degrees): 8.8366 8.8366 6.7393 106.94 106.94 32.44
Closest atoms and distances in Å follow each position.
Sites, in units of the cell vectors:
Tm  0.0306  0.0306  0.2952  1 Pt 2.89, 2 Os 2.95, 1 Tm 3.23
Tm  0.2014  0.2014  0.8062  1 Pt 2.76
Tm  0.3350  0.3350  0.5371  3 Pt 2.83-3.11, 1 Os 2.89
Tm  0.4063  0.4063  0.0586  1 Os 2.92, 2 Pt 3.16
Tm  0.5937  0.5937  0.9414  1 Os 2.92, 2 Pt 3.16
Tm  0.6650  0.6650  0.4629  3 Pt 2.83-3.11, 1 Os 2.89
Tm  0.7986  0.7986  0.1938  1 Pt 2.76
Tm  0.9694  0.9694  0.7048  1 Pt 2.89, 2 Os 2.95, 1 Tm 3.23
Os  0.5000  0.5000  0.5000  8 Tm 2.89-2.95
Pt  0.1863  0.1863  0.2028  3 Tm 2.76-2.89
Pt  0.8137  0.8137  0.7972  3 Tm 2.76-2.89


two | This record from the Alexandria database describes a geometry-optimized Tm8OsPt2 structure. The functional is PBE.

Output
total magnetic moment = 0.00 μB per formula unit

Lattice parameters (Å, degrees): 7.5328 7.5328 5.7818 100.50 100.50 112.64
Closest atoms and distances in Å follow each position.
Sites, in units of the cell vectors:
Tm  0.0000  0.0000  0.0000  1 Os 2.93, 2 Pt 3.01
Tm  0.0235  0.2758  0.5924  2 Pt 2.81-2.82, 1 Os 2.97
Tm  0.1426  0.5700  0.1772  1 Os 2.82, 2 Pt 3.13-3.16
Tm  0.2758  0.0235  0.5924  2 Pt 2.81-2.82, 1 Os 2.97
Tm  0.4288  0.6814  0.7843  2 Pt 2.83-2.85, 1 Os 2.95, 1 Tm 3.17
Tm  0.5700  0.1426  0.1772  1 Os 2.82, 2 Pt 3.13-3.16
Tm  0.6814  0.4288  0.7843  2 Pt 2.83-2.85, 1 Os 2.95, 1 Tm 3.17
Tm  0.7071  0.7071  0.3552  1 Os 2.94, 2 Pt 2.99
Os  0.3556  0.3556  0.0220  8 Tm 2.82-2.97
Pt  0.0368  0.6619  0.6761  7 Tm 2.81-3.13
Pt  0.6619  0.0368  0.6761  7 Tm 2.81-3.13


Stability comparison, relative energies in meV per atom: one 0; two 93